## Li4TlInNi2 (PBE-GGA)

Data for an optimized crystal structure of Li4TlInNi2.

Results
Space group: No. 115
Crystal system: tetragonal
DFT total energy: -25.2 eV for the cell shown

Cell lengths 4.3858, 4.3858, 6.1909 Å; angles 90.00, 90.00, 90.00 degrees
Sites, in units of the cell vectors:
1 Li 0.0000 0.0000 0.0000
2 Li 0.0000 0.5000 0.2496
3 Li 0.5000 0.0000 0.7504
4 Li 0.5000 0.5000 0.5000
5 Tl 0.0000 0.0000 0.5000
6 In 0.5000 0.5000 0.0000
7 Ni 0.0000 0.5000 0.7587
8 Ni 0.5000 0.0000 0.2413